Record 1
! PBE PmNd7Tm3, optimized geometry; values from VASP
! mass density: 7.20 g/cm³
! excess energy over the best structure of this formula in the dataset: 42 meV/atom
! energy of formation from the pure elements: 0.219 eV per atom
! crystal system: orthorhombic
! space-group type: Immm
&SYSTEM
  ibrav = 0, nat = 11, ntyp = 3
/
ATOMIC_SPECIES
Nd 144.24 Nd.upf
Tm 168.93 Tm.upf
Pm 145.00 Pm.upf
CELL_PARAMETERS angstrom
5.9101 -0.1640 -0.2100
-2.7010 8.0722 1.0368
-2.7010 -0.9511 8.0827
ATOMIC_POSITIONS angstrom
Nd 0.3527 2.2016 8.2356
Nd 0.1554 -0.4991 4.7770
Nd -2.7010 3.5605 4.5597
Tm -2.7010 0.8772 6.6550
Tm -2.7010 6.2438 2.4644
Nd 0.1066 1.4466 1.8525
Pm 0.2540 3.4785 4.4547
Nd 0.4015 5.5105 7.0570
Nd 0.3527 7.4561 4.1325
Nd 0.1554 4.7555 0.6739
Tm 2.9550 -0.0820 -0.1050

=====

Record 2
! PBE NaLaSeN2, optimized geometry; values from VASP
! mass density: 4.56 g/cm³
! uncorrected formation energy: 323 kJ/mol of formula units
! excess energy over the best structure of this formula in the dataset: 332 meV/atom
! crystal system: tetragonal
! space-group type: P4/mmm
&SYSTEM
  ibrav = 0, nat = 5, ntyp = 4
/
ATOMIC_SPECIES
N 14.01 N.upf
Se 78.96 Se.upf
La 138.91 La.upf
Na 22.99 Na.upf
CELL_PARAMETERS angstrom
4.4280 0.0000 0.0000
0.0000 4.4280 0.0000
0.0000 0.0000 4.9892
ATOMIC_POSITIONS angstrom
N 0.0000 2.2140 0.0000
Se 0.0000 0.0000 2.4946
La 2.2140 2.2140 2.4946
N 2.2140 0.0000 0.0000
Na 0.0000 0.0000 0.0000

=====

Q: What is the formula in the second record?
A: NaLaSeN2

=====

Q: Among the records above, which one has the lowest mass density?
A: NaLaSeN2

=====

Q: Among the records above, which one has the lowest mass density?
A: NaLaSeN2